A geometry-optimized VSbI2O structure, computed with PBE+U.

## Properties
* Fermi-level density of states: 6.4 states/eV/cell
* polymorph energy (0 for the lowest one): 1.330 eV/atom
* E: -2.94 eV per atom
* V: 119 Å³ per cell

Unit cell a=5.093 b=5.093 c=4.595 alpha=90.00 beta=90.00 gamma=90.00
Fractional positions:
V: 0.000 0.000 0.000
Sb: 0.500 0.500 0.000
I: 0.000 0.500 0.500
I: 0.500 0.000 0.500
O: 0.500 0.500 0.500